# Nb2GaFe5Si2

A geometry-optimized Nb2GaFe5Si2 structure (PBE, the Alexandria database).

```
data_Nb2GaFe5Si2
_cell_length_a 9.072
_cell_length_b 9.072
_cell_length_c 3.099
_cell_angle_alpha 90.00
_cell_angle_beta 90.00
_cell_angle_gamma 90.00
_space_group_name_H-M_alt 'P 1'
_space_group_IT_number 1
loop_
_space_group_symop_operation_xyz
'x,y,z'
loop_
_atom_site_label
_atom_site_fract_x
_atom_site_fract_y
_atom_site_fract_z
_atom_site_occupancy
Nb1 0.174 0.326 0.000 1
Nb2 0.326 0.826 0.000 1
Nb3 0.674 0.174 0.000 1
Nb4 0.826 0.674 0.000 1
Ga1 0.000 0.000 0.000 1
Ga2 0.500 0.500 0.000 1
Fe1 0.000 0.500 0.500 1
Fe2 0.063 0.792 0.500 1
Fe3 0.208 0.063 0.500 1
Fe4 0.292 0.563 0.500 1
Fe5 0.437 0.292 0.500 1
Fe6 0.500 0.000 0.500 1
Fe7 0.563 0.708 0.500 1
Fe8 0.708 0.437 0.500 1
Fe9 0.792 0.937 0.500 1
Fe10 0.937 0.208 0.500 1
Si1 0.125 0.625 0.000 1
Si2 0.375 0.125 0.000 1
Si3 0.625 0.875 0.000 1
Si4 0.875 0.375 0.000 1
```

Computed properties:
SG   P4/mbm
Density   7.69 g/cm3
VASP energy   -158.18 eV for the cell shown
E_form (uncorrected)   -276 meV per atom

=====

# Ca3TaRe

A geometry-optimized Ca3TaRe structure (PBE, the Alexandria database).

```
data_Ca3TaRe
_cell_length_a 5.368
_cell_length_b 5.368
_cell_length_c 5.368
_cell_angle_alpha 90.00
_cell_angle_beta 90.00
_cell_angle_gamma 90.00
_space_group_name_H-M_alt 'P 1'
_space_group_IT_number 1
loop_
_space_group_symop_operation_xyz
'x,y,z'
loop_
_atom_site_label
_atom_site_fract_x
_atom_site_fract_y
_atom_site_fract_z
_atom_site_occupancy
Ca1 0.000 0.000 0.500 1
Ca2 0.000 0.500 0.000 1
Ca3 0.500 0.000 0.000 1
Ta1 0.000 0.000 0.000 1
Re1 0.500 0.500 0.500 1
```

Computed properties:
SG   Pm-3m
Relative energy among the computed polymorphs   555.9 meV/atom
Density   5.23 g/cm3
VASP energy   -18.98 eV for the cell shown
Energy relative to the elements   2.264 eV per atom

=====

# La3TbSn3

A geometry-optimized La3TbSn3 structure (PBE, the Alexandria database).

```
data_La3TbSn3
_cell_length_a 8.076
_cell_length_b 8.076
_cell_length_c 8.301
_cell_angle_alpha 91.63
_cell_angle_beta 91.63
_cell_angle_gamma 114.65
_space_group_name_H-M_alt 'P 1'
_space_group_IT_number 1
loop_
_space_group_symop_operation_xyz
'x,y,z'
loop_
_atom_site_label
_atom_site_fract_x
_atom_site_fract_y
_atom_site_fract_z
_atom_site_occupancy
La1 0.164 0.836 0.000 1
La2 0.225 0.775 0.500 1
La3 0.377 0.377 0.132 1
La4 0.623 0.623 0.868 1
La5 0.775 0.225 0.500 1
La6 0.836 0.164 0.000 1
Tb1 0.268 0.268 0.580 1
Tb2 0.732 0.732 0.420 1
Sn1 0.052 0.052 0.283 1
Sn2 0.154 0.495 0.798 1
Sn3 0.495 0.154 0.798 1
Sn4 0.505 0.846 0.202 1
Sn5 0.846 0.505 0.202 1
Sn6 0.948 0.948 0.717 1
```

Computed properties:
SG   C2/m
Density   6.30 g/cm3
VASP energy   -69.91 eV for the cell shown
Energy relative to the elements   -0.505 eV per atom

=====

Which of these has the lowest density? Ca3TaRe

=====

Which of these has the lowest density? Ca3TaRe